--- 1 ---
This record from the Open Quantum Materials Database describes a geometry-optimized TcB4Au structure. The functional is PBE-GGA.

a = 4.7316 Å, b = 4.7316 Å, c = 4.7316 Å
α = 142.06°, β = 114.37°, γ = 78.39°
Atoms (fractional coordinates):
Tc: 0.0000 0.0000 0.0000
B: 0.9386 0.2662 0.6724
B: 0.0614 0.7338 0.3276
Au: 0.5000 0.5000 0.0000
B: 0.4062 0.7338 0.6724
B: 0.5938 0.2662 0.3276

--- 2 ---
This record from the Open Quantum Materials Database describes a geometry-optimized TcB4Au structure. The functional is PBE-GGA.

a = 2.9470 Å, b = 2.9470 Å, c = 8.1529 Å
α = 90.00°, β = 90.00°, γ = 120.00°
Atoms (fractional coordinates):
B: 0.6667 0.3333 0.2929
B: 0.3333 0.6667 0.7071
Tc: 0.0000 0.0000 0.5000
Au: 0.0000 0.0000 0.0000
B: 0.6667 0.3333 0.7071
B: 0.3333 0.6667 0.2929

Each structure's energy above the most stable one, in eV/atom: 1 0.162; 2 0.000.

--- 1 ---
This record from the Open Quantum Materials Database describes a geometry-optimized Tc2Se3S structure. The functional is PBE-GGA.

a = 6.1223 Å, b = 3.1242 Å, c = 11.4783 Å
α = 90.00°, β = 105.44°, γ = 90.00°
Atoms (fractional coordinates):
Tc: 0.4651 0.0000 0.0030
Tc: 0.8924 0.5000 0.0027
S: 0.8252 0.0000 0.1427
Se: 0.1766 0.5000 0.8710
Se: 0.3091 0.5000 0.1359
Se: 0.6756 0.0000 0.8446

--- 2 ---
This record from the Open Quantum Materials Database describes a geometry-optimized Tc2Se3S structure. The functional is PBE-GGA.

a = 6.6107 Å, b = 6.7544 Å, c = 7.0313 Å
α = 91.98°, β = 104.05°, γ = 118.74°
Atoms (fractional coordinates):
Se: 0.2493 0.3662 0.3131
Se: 0.7789 0.3930 0.2869
Se: 0.7266 0.8439 0.2499
Tc: 0.9336 0.1826 0.5088
S: 0.2652 0.8919 0.2454
Se: 0.2211 0.6070 0.7131
Se: 0.7507 0.6338 0.6869
Tc: 0.4870 0.7924 0.4963
S: 0.7348 0.1081 0.7546
Tc: 0.0664 0.8174 0.4912
Tc: 0.5130 0.2076 0.5037
Se: 0.2734 0.1561 0.7501

Each structure's energy above the most stable one, in eV/atom: 1 0.153; 2 0.000.

--- 1 ---
This record from the Open Quantum Materials Database describes a geometry-optimized ZrBeCdPd structure. The functional is PBE-GGA.

a = 4.5515 Å, b = 4.5515 Å, c = 4.5515 Å
α = 60.00°, β = 60.00°, γ = 60.00°
Atoms (fractional coordinates):
Pd: 0.2500 0.2500 0.2500
Zr: 0.0000 0.0000 0.0000
Cd: 0.5000 0.5000 0.5000
Be: 0.7500 0.7500 0.7500

--- 2 ---
This record from the Open Quantum Materials Database describes a geometry-optimized ZrBeCdPd structure. The functional is PBE-GGA.

a = 4.5724 Å, b = 4.5724 Å, c = 4.5724 Å
α = 60.00°, β = 60.00°, γ = 60.00°
Atoms (fractional coordinates):
Cd: 0.0000 0.0000 0.0000
Zr: 0.2500 0.2500 0.2500
Be: 0.7500 0.7500 0.7500
Pd: 0.5000 0.5000 0.5000

Each structure's energy above the most stable one, in eV/atom: 1 0.000; 2 0.108.

--- 1 ---
This record from the Open Quantum Materials Database describes a geometry-optimized Zr2I structure. The functional is PBE-GGA.

a = 9.2374 Å, b = 9.2374 Å, c = 9.2374 Å
α = 60.00°, β = 60.00°, γ = 60.00°
Atoms (fractional coordinates):
Zr: 0.3750 0.3750 0.3750
Zr: 0.3750 0.8750 0.3750
Zr: 0.3750 0.3750 0.8750
I: 0.5000 0.5000 0.5000
I: 0.2500 0.2500 0.2500
Zr: 0.8750 0.3750 0.3750

--- 2 ---
This record from the Open Quantum Materials Database describes a geometry-optimized Zr2I structure. The functional is PBE-GGA.

a = 6.0276 Å, b = 6.0276 Å, c = 6.0276 Å
α = 60.00°, β = 60.00°, γ = 60.00°
Atoms (fractional coordinates):
Zr: 0.6250 0.1250 0.6250
Zr: 0.6250 0.6250 0.1250
Zr: 0.6250 0.6250 0.6250
Zr: 0.1250 0.6250 0.6250
I: 0.2500 0.2500 0.2500
I: 0.0000 0.0000 0.0000

Each structure's energy above the most stable one, in eV/atom: 1 1.888; 2 0.000.

--- 1 ---
This record from the Open Quantum Materials Database describes a geometry-optimized TmTcAs structure. The functional is PBE-GGA.

a = 4.5636 Å, b = 4.5636 Å, c = 4.5636 Å
α = 60.00°, β = 60.00°, γ = 60.00°
Atoms (fractional coordinates):
Tm: 0.0000 0.0000 0.0000
As: 0.2500 0.2500 0.2500
Tc: 0.7500 0.7500 0.7500

--- 2 ---
This record from the Open Quantum Materials Database describes a geometry-optimized TmTcAs structure. The functional is PBE-GGA.

a = 4.4083 Å, b = 4.4083 Å, c = 4.4083 Å
α = 60.00°, β = 60.00°, γ = 60.00°
Atoms (fractional coordinates):
Tm: 0.7500 0.7500 0.7500
Tc: 0.2500 0.2500 0.2500
As: 0.0000 0.0000 0.0000

Each structure's energy above the most stable one, in eV/atom: 1 0.811; 2 0.000.

--- 1 ---
This record from the Open Quantum Materials Database describes a geometry-optimized Cu7Ag3 structure. The functional is PBE-GGA.

a = 21.4018 Å, b = 21.4018 Å, c = 21.4018 Å
α = 7.31°, β = 7.31°, γ = 7.31°
Atoms (fractional coordinates):
Ag: 0.6949 0.6949 0.6949
Cu: 0.9008 0.9008 0.9008
Cu: 0.1027 0.1027 0.1027
Cu: 0.5058 0.5058 0.5058
Cu: 0.2959 0.2959 0.2959
Cu: 0.5983 0.5983 0.5983
Cu: 0.9933 0.9933 0.9933
Ag: 0.4011 0.4011 0.4011
Cu: 0.2031 0.2031 0.2031
Ag: 0.8042 0.8042 0.8042

--- 2 ---
This record from the Open Quantum Materials Database describes a geometry-optimized Cu7Ag3 structure. The functional is PBE-GGA.

a = 9.6830 Å, b = 9.6830 Å, c = 3.8208 Å
α = 90.00°, β = 90.00°, γ = 157.49°
Atoms (fractional coordinates):
Cu: 0.2943 0.7057 0.0000
Cu: 0.0000 0.0000 0.5000
Cu: 0.7938 0.2062 0.5000
Ag: 0.6070 0.3930 0.5000
Cu: 0.1094 0.8906 0.0000
Cu: 0.8906 0.1094 0.0000
Ag: 0.3930 0.6070 0.5000
Ag: 0.5000 0.5000 0.0000
Cu: 0.2062 0.7938 0.5000
Cu: 0.7057 0.2943 0.0000

--- 3 ---
This record from the Open Quantum Materials Database describes a geometry-optimized Cu7Ag3 structure. The functional is PBE-GGA.

a = 9.6775 Å, b = 9.6775 Å, c = 3.7931 Å
α = 90.00°, β = 90.00°, γ = 157.25°
Atoms (fractional coordinates):
Ag: 0.3034 0.6966 0.5000
Ag: 0.0000 0.0000 0.0000
Cu: 0.0988 0.9012 0.5000
Cu: 0.9012 0.0988 0.5000
Cu: 0.1961 0.8039 0.0000
Cu: 0.8039 0.1961 0.0000
Cu: 0.4015 0.5985 0.0000
Cu: 0.5985 0.4015 0.0000
Cu: 0.5000 0.5000 0.5000
Ag: 0.6966 0.3034 0.5000

Each structure's energy above the most stable one, in eV/atom: 1 0.021; 2 0.000; 3 0.010.